# NdTmHg2

An optimized crystal structure of NdTmHg2 (PBE, OQMD via LeMat-Bulk).

Properties
Formation energy from the elements: -0.48 eV per atom
Magnetization: 0.5 Bohr magnetons per cell

Lattice parameters (Å, degrees): 3.6924 3.6924 7.6912 90.00 90.00 90.00
Last column: nearest neighbours and their distance in Å.
Sites, in units of the cell vectors:
Nd  0.0000  0.0000  0.0000  8 Hg 3.35, 4 Nd 3.69
Tm  0.0000  0.0000  0.5000  8 Hg 3.14
Hg  0.5000  0.5000  0.2722  4 Tm 3.14, 4 Nd 3.35, 1 Hg 3.50
Hg  0.5000  0.5000  0.7278  4 Tm 3.14, 4 Nd 3.35, 1 Hg 3.50

---

# LiZrBPd

An optimized crystal structure of LiZrBPd (PBE, OQMD via LeMat-Bulk).

Properties
Energy above the lowest structure with this stoichiometry: 0.58 eV/f.u.
Magnetization: 0.0 Bohr magnetons per cell

Lattice parameters (Å, degrees): 6.1242 6.1242 6.1242 90.00 90.00 90.00
Last column: nearest neighbours and their distance in Å.
Sites, in units of the cell vectors:
Li  0.0000  0.0000  0.0000  4 B 2.65, 4 Pd 2.65
Li  0.0000  0.5000  0.5000  4 B 2.65, 4 Pd 2.65
Li  0.5000  0.0000  0.5000  4 B 2.65, 4 Pd 2.65
Li  0.5000  0.5000  0.0000  4 B 2.65, 4 Pd 2.65
Zr  0.0000  0.0000  0.5000  4 Pd 2.65, 4 B 2.65
Zr  0.0000  0.5000  0.0000  4 Pd 2.65, 4 B 2.65
Zr  0.5000  0.0000  0.0000  4 Pd 2.65, 4 B 2.65
Zr  0.5000  0.5000  0.5000  4 Pd 2.65, 4 B 2.65
B  0.2500  0.2500  0.7500  4 Zr 2.65, 4 Li 2.65
B  0.2500  0.7500  0.2500  4 Zr 2.65, 4 Li 2.65
B  0.7500  0.2500  0.2500  4 Zr 2.65, 4 Li 2.65
B  0.7500  0.7500  0.7500  4 Zr 2.65, 4 Li 2.65
Pd  0.2500  0.2500  0.2500  4 Li 2.65, 4 Zr 2.65
Pd  0.2500  0.7500  0.7500  4 Li 2.65, 4 Zr 2.65
Pd  0.7500  0.2500  0.7500  4 Li 2.65, 4 Zr 2.65
Pd  0.7500  0.7500  0.2500  4 Li 2.65, 4 Zr 2.65

---

# PrCdNO

An optimized crystal structure of PrCdNO (PBE, OQMD via LeMat-Bulk).

Properties
Energy above the lowest structure with this stoichiometry: 0.00 eV/f.u.
Magnetization: 0.0 Bohr magnetons per cell

Lattice parameters (Å, degrees): 4.0022 6.3741 5.6399 90.00 90.00 90.00
Last column: nearest neighbours and their distance in Å.
Sites, in units of the cell vectors:
Pr  0.0000  0.1982  0.0000  2 O 2.29, 2 N 2.34-2.42
Pr  0.0000  0.8018  0.5000  2 O 2.29, 2 N 2.34-2.42
Cd  0.5000  0.2982  0.4956  2 N 2.21, 2 O 2.29-2.34
Cd  0.5000  0.7018  0.9956  2 N 2.21, 2 O 2.29-2.34
N  0.0000  0.1640  0.4282  2 Cd 2.21, 2 Pr 2.34-2.42
N  0.0000  0.8360  0.9282  2 Cd 2.21, 2 Pr 2.34-2.42
O  0.5000  0.3516  0.9052  2 Cd 2.29-2.34, 2 Pr 2.29
O  0.5000  0.6484  0.4052  2 Cd 2.29-2.34, 2 Pr 2.29

---

For reference, calculated total energy by record: -2.9354, -5.6367, -6.0129 eV/atom.